# La2Pr6Ho3Mg, relaxed, DFT GGA-PBE
data_La2Pr6Ho3Mg
_cell_length_a 6.302
_cell_length_b 6.302
_cell_length_c 12.011
_cell_angle_alpha 95.06
_cell_angle_beta 95.06
_cell_angle_gamma 120.07
_space_group_name_H-M_alt 'P 1'
_space_group_IT_number 1
_space_group_name_Hall 'P 1'
loop_
_atom_site_label
_atom_site_type_symbol
_atom_site_fract_x
_atom_site_fract_y
_atom_site_fract_z
Ho1 Ho 0.500 0.500 0.500
Ho2 Ho 0.834 0.166 0.500
Ho3 Ho 0.166 0.834 0.500
Pr1 Pr 0.587 0.916 0.746
Pr2 Pr 0.246 0.246 0.745
Pr3 Pr 0.084 0.413 0.254
Pr4 Pr 0.413 0.084 0.254
Pr5 Pr 0.916 0.587 0.746
Pr6 Pr 0.754 0.754 0.255
La1 La 0.333 0.667 0.000
La2 La 0.667 0.333 0.000
Mg1 Mg 0.000 0.000 0.000
# - Symmetry: C2/m (12)
# - Crystal system: monoclinic

# CaCeZnSb, relaxed, DFT GGA-PBE
data_CaCeZnSb
_cell_length_a 5.310
_cell_length_b 5.310
_cell_length_c 5.310
_cell_angle_alpha 60.00
_cell_angle_beta 60.00
_cell_angle_gamma 60.00
_space_group_name_H-M_alt 'P 1'
_space_group_IT_number 1
_space_group_name_Hall 'P 1'
loop_
_atom_site_label
_atom_site_type_symbol
_atom_site_fract_x
_atom_site_fract_y
_atom_site_fract_z
Sb1 Sb 0.750 0.750 0.750
Ce1 Ce 0.500 0.500 0.500
Ca1 Ca 0.000 0.000 0.000
Zn1 Zn 0.250 0.250 0.250
# - Symmetry: F-43m (216)
# - Crystal system: cubic
# - Formation energy (no corrections): -0.513 eV per atom

# Dy6AlTe3As2, relaxed, DFT GGA-PBE
data_Dy6AlTe3As2
_cell_length_a 4.178
_cell_length_b 8.703
_cell_length_c 9.598
_cell_angle_alpha 104.14
_cell_angle_beta 102.57
_cell_angle_gamma 90.00
_space_group_name_H-M_alt 'P 1'
_space_group_IT_number 1
_space_group_name_Hall 'P 1'
loop_
_atom_site_label
_atom_site_type_symbol
_atom_site_fract_x
_atom_site_fract_y
_atom_site_fract_z
Dy1 Dy 0.662 0.101 0.324
Dy2 Dy 0.326 0.434 0.652
Dy3 Dy 0.338 0.899 0.676
Dy4 Dy 0.674 0.566 0.348
Dy5 Dy 0.994 0.758 0.988
Dy6 Dy 0.006 0.242 0.012
Te1 Te 0.168 0.831 0.335
Te2 Te 0.832 0.169 0.665
Te3 Te 0.500 0.500 0.000
Al1 Al 0.500 0.000 0.000
As1 As 0.832 0.664 0.665
As2 As 0.168 0.336 0.335
# - Symmetry: C2/m (12)
# - Crystal system: monoclinic
# - Formation energy (no corrections): -1.244 eV per atom

# Sm4Co2I5, relaxed, DFT GGA-PBE
data_Sm4Co2I5
_cell_length_a 4.175
_cell_length_b 8.784
_cell_length_c 11.183
_cell_angle_alpha 113.12
_cell_angle_beta 100.76
_cell_angle_gamma 90.00
_space_group_name_H-M_alt 'P 1'
_space_group_IT_number 1
_space_group_name_Hall 'P 1'
loop_
_atom_site_label
_atom_site_type_symbol
_atom_site_fract_x
_atom_site_fract_y
_atom_site_fract_z
Co1 Co 0.448 0.448 0.895
Co2 Co 0.552 0.552 0.105
I1 I 0.165 0.391 0.330
I2 I 0.835 0.609 0.670
I3 I 0.500 0.000 0.000
I4 I 0.835 0.061 0.670
I5 I 0.165 0.939 0.330
Sm1 Sm 0.329 0.329 0.658
Sm2 Sm 0.671 0.671 0.342
Sm3 Sm 0.000 0.700 0.000
Sm4 Sm 0.000 0.300 0.000
# - ΔE to the lowest computed polymorph: 0.36 eV/f.u.
# - Symmetry: Immm (71)
# - Crystal system: orthorhombic
# - Formation energy (no corrections): -0.734 eV per atom

# MnCdAs4, relaxed, DFT GGA-PBE
data_MnCdAs4
_cell_length_a 5.592
_cell_length_b 5.592
_cell_length_c 5.592
_cell_angle_alpha 60.00
_cell_angle_beta 60.00
_cell_angle_gamma 60.00
_space_group_name_H-M_alt 'P 1'
_space_group_IT_number 1
_space_group_name_Hall 'P 1'
loop_
_atom_site_label
_atom_site_type_symbol
_atom_site_fract_x
_atom_site_fract_y
_atom_site_fract_z
As1 As 0.375 0.375 0.875
As2 As 0.875 0.375 0.375
As3 As 0.375 0.875 0.375
As4 As 0.375 0.375 0.375
Mn1 Mn 0.000 0.000 0.000
Cd1 Cd 0.750 0.750 0.750
# - Symmetry: F-43m (216)
# - Crystal system: cubic

# FeHgSb2, relaxed, DFT GGA-PBE
data_FeHgSb2
_cell_length_a 3.190
_cell_length_b 3.190
_cell_length_c 8.625
_cell_angle_alpha 90.00
_cell_angle_beta 90.00
_cell_angle_gamma 90.00
_space_group_name_H-M_alt 'P 1'
_space_group_IT_number 1
_space_group_name_Hall 'P 1'
loop_
_atom_site_label
_atom_site_type_symbol
_atom_site_fract_x
_atom_site_fract_y
_atom_site_fract_z
Hg1 Hg 0.500 0.500 0.699
Sb1 Sb 0.500 0.500 0.321
Sb2 Sb 0.000 0.000 0.990
Fe1 Fe 0.000 0.000 0.490
# - Symmetry: P4mm (99)
# - Crystal system: tetragonal
# - Formation energy (no corrections): 0.322 eV per atom

DFT total energy / eV per atom: -4.481; -3.846; -5.418; -4.447; -4.310; -3.930
DOS at the Fermi energy / states/eV/cell: 14.0; 8.0; 3.3; 6.1; 3.3; 3.1